First-principles (GGA-PBE) data for a relaxed structure of Dy12In6Ga, as listed in Alexandria.

a = 8.795 Å, b = 8.795 Å, c = 8.795 Å
α = 99.89°, β = 99.89°, γ = 99.89°
Sites, in units of the cell vectors:
Dy1 0.820 0.570 0.433
Dy2 0.433 0.820 0.570
Dy3 0.570 0.433 0.820
Dy4 0.180 0.430 0.567
Dy5 0.567 0.180 0.430
Dy6 0.430 0.567 0.180
Dy7 0.061 0.957 0.319
Dy8 0.043 0.681 0.939
Dy9 0.681 0.939 0.043
Dy10 0.939 0.043 0.681
Dy11 0.957 0.319 0.061
Dy12 0.319 0.061 0.957
In1 0.698 0.864 0.379
In2 0.621 0.302 0.136
In3 0.136 0.621 0.302
In4 0.302 0.136 0.621
In5 0.379 0.698 0.864
In6 0.864 0.379 0.698
Ga1 0.000 0.000 0.000

Values from the calculation:
- E (eV/atom) = -3.970
- formation energy (eV/atom) = -0.039
- SG = R-3 (148)